The following is a GGA-PBE calculation of La2SbMoAs after structural relaxation, from Alexandria.

abc: 5.4731 5.0525 5.4731
angles: 90.00 90.00 90.00
Closest atoms and distances in Å follow each position.
Element x y z (fractional)
As  0.5000  0.5000  0.5000  8 La 3.72, 4 Sb 3.87
La  0.5000  0.0000  0.0000  2 Mo 2.74
La  0.0000  0.0000  0.5000  2 Mo 2.74
Mo  0.0000  0.0000  0.0000  2 Sb 2.53, 4 La 2.74
Sb  0.0000  0.5000  0.0000  2 Mo 2.53

Values from the calculation:
calculated volume	30.27	A^3/atom
raw formation energy	-0.156	eV per atom
symmetry	P4/mmm (123)

---

The following is a GGA-PBE calculation of LaMoAs2Se after structural relaxation, from Alexandria.

abc: 4.7843 4.7843 5.3634
angles: 90.00 90.00 90.00
Closest atoms and distances in Å follow each position.
Element x y z (fractional)
Se  0.0000  0.0000  0.5000  2 Mo 2.68
As  0.5000  0.0000  0.0000  2 Mo 2.39
As  0.0000  0.5000  0.0000  2 Mo 2.39
La  0.5000  0.5000  0.5000  4 Se 3.38, 8 As 3.59
Mo  0.0000  0.0000  0.0000  4 As 2.39

Values from the calculation:
calculated volume	24.55	A^3/atom
raw formation energy	-0.458	eV per atom
distance to the lowest polymorph of the same formula	0.0	meV per atom
symmetry	P4/mmm (123)

---

The following is a GGA-PBE calculation of LaMoAs2Se after structural relaxation, from Alexandria.

abc: 5.6477 5.6477 5.6087
angles: 90.00 90.00 90.00
Closest atoms and distances in Å follow each position.
Element x y z (fractional)
Mo  0.5000  0.5000  0.5000  8 As 3.98, 4 Se 3.99
As  0.0000  0.5000  0.0000  2 La 2.82
As  0.5000  0.0000  0.0000  2 La 2.82
La  0.0000  0.0000  0.0000  2 Se 2.80, 4 As 2.82
Se  0.0000  0.0000  0.5000  2 La 2.80

Values from the calculation:
calculated volume	35.78	A^3/atom
raw formation energy	1.020	eV per atom
distance to the lowest polymorph of the same formula	1477.9	meV per atom
symmetry	P4/mmm (123)

---

The following is a GGA-PBE calculation of LaMoAsSe2 after structural relaxation, from Alexandria.

abc: 5.5865 5.5865 5.6588
angles: 90.00 90.00 90.00
Closest atoms and distances in Å follow each position.
Element x y z (fractional)
Mo  0.5000  0.5000  0.5000  4 As 3.95, 8 Se 3.98
Se  0.0000  0.5000  0.0000  2 La 2.79
Se  0.5000  0.0000  0.0000  2 La 2.79
La  0.0000  0.0000  0.0000  4 Se 2.79, 2 As 2.83
As  0.0000  0.0000  0.5000  2 La 2.83

Values from the calculation:
calculated volume	35.32	A^3/atom
raw formation energy	1.057	eV per atom
distance to the lowest polymorph of the same formula	1621.6	meV per atom
symmetry	P4/mmm (123)

---

The following is a GGA-PBE calculation of LaMoAsSe2 after structural relaxation, from Alexandria.

abc: 5.0466 5.0466 4.8181
angles: 90.00 90.00 90.00
Closest atoms and distances in Å follow each position.
Element x y z (fractional)
Se  0.5000  0.0000  0.0000  2 Mo 2.52
Se  0.0000  0.5000  0.0000  2 Mo 2.52
Mo  0.0000  0.0000  0.0000  2 As 2.41, 4 Se 2.52
As  0.0000  0.0000  0.5000  2 Mo 2.41
La  0.5000  0.5000  0.5000  8 Se 3.49, 4 As 3.57

Values from the calculation:
calculated volume	24.54	A^3/atom
raw formation energy	-0.564	eV per atom
distance to the lowest polymorph of the same formula	0.0	meV per atom
symmetry	P4/mmm (123)

---

The following is a GGA-PBE calculation of LaSn2MoAs after structural relaxation, from Alexandria.

abc: 5.3155 5.5963 5.3155
angles: 90.00 90.00 90.00
Closest atoms and distances in Å follow each position.
Element x y z (fractional)
Mo  0.5000  0.5000  0.5000  4 La 3.76, 8 Sn 3.86
Sn  0.5000  0.0000  0.0000  2 As 2.66
Sn  0.0000  0.0000  0.5000  2 As 2.66
As  0.0000  0.0000  0.0000  4 Sn 2.66, 2 La 2.80
La  0.0000  0.5000  0.0000  2 As 2.80

Values from the calculation:
uncorrected energy	-24.7	eV/f.u.
calculated volume	31.62	A^3/atom
symmetry	P4/mmm (123)

---

The following is a GGA-PBE calculation of La2TeMoAs after structural relaxation, from Alexandria.

abc: 5.5567 4.9790 5.5567
angles: 90.00 90.00 90.00
Closest atoms and distances in Å follow each position.
Element x y z (fractional)
Te  0.0000  0.5000  0.0000  2 Mo 2.49
La  0.5000  0.0000  0.0000  2 Mo 2.78
La  0.0000  0.0000  0.5000  2 Mo 2.78
Mo  0.0000  0.0000  0.0000  2 Te 2.49, 4 La 2.78
As  0.5000  0.5000  0.5000  8 La 3.73, 4 Te 3.93

Values from the calculation:
calculated volume	30.75	A^3/atom
raw formation energy	-0.178	eV per atom
symmetry	P4/mmm (123)

---

The following is a GGA-PBE calculation of LaZnMo2As after structural relaxation, from Alexandria.

abc: 4.8790 5.4917 4.8790
angles: 90.00 90.00 90.00
Closest atoms and distances in Å follow each position.
Element x y z (fractional)
Mo  0.5000  0.0000  0.0000  2 La 2.44
Mo  0.0000  0.0000  0.5000  2 La 2.44
As  0.0000  0.5000  0.0000  2 La 2.75
Zn  0.5000  0.5000  0.5000  4 As 3.45, 8 Mo 3.67
La  0.0000  0.0000  0.0000  4 Mo 2.44

Values from the calculation:
uncorrected energy	-22.3	eV/f.u.
calculated volume	26.15	A^3/atom
symmetry	P4/mmm (123)

---

The following is a GGA-PBE calculation of La4As2N after structural relaxation, from Alexandria.

abc: 4.8627 4.8627 8.6937
angles: 73.76 73.76 90.00
Closest atoms and distances in Å follow each position.
Element x y z (fractional)
La  0.8304  0.8304  0.3392  1 N 2.71
La  0.5000  0.0000  0.0000  2 N 2.43
La  0.1696  0.1696  0.6608  1 N 2.71
La  0.0000  0.5000  0.0000  2 N 2.43
As  0.6371  0.6371  0.7257  5 La 3.09-3.27
As  0.3629  0.3629  0.2743  5 La 3.09-3.27
N  0.0000  0.0000  0.0000  6 La 2.43-2.71

Values from the calculation:
calculated volume	26.97	A^3/atom
raw formation energy	-1.155	eV per atom
distance to the lowest polymorph of the same formula	0.0	meV per atom
symmetry	I4/mmm (139)

---

The following is a GGA-PBE calculation of La8As2N3 after structural relaxation, from Alexandria.

abc: 6.7020 7.5239 8.2216
angles: 117.23 104.19 90.00
Closest atoms and distances in Å follow each position.
Element x y z (fractional)
La  0.9283  0.5983  0.1966  2 N 2.58
La  0.6088  0.1393  0.7975  2 N 2.57-2.63
La  0.8952  0.1002  0.2005  3 N 2.51-2.65
La  0.3912  0.8607  0.2025  2 N 2.57-2.63
La  0.6088  0.6582  0.7975  2 N 2.57-2.63
La  0.3912  0.3418  0.2025  2 N 2.57-2.63
La  0.0717  0.4017  0.8034  2 N 2.58
La  0.1048  0.8998  0.7995  3 N 2.51-2.65
As  0.6852  0.7437  0.4873  6 La 3.01-3.13
As  0.3148  0.2563  0.5127  6 La 3.01-3.13
N  0.5000  0.0000  0.0000  6 La 2.57-2.65
N  0.0000  0.7657  0.0000  6 La 2.51-2.63
N  0.0000  0.2343  0.0000  6 La 2.51-2.63

Values from the calculation:
calculated volume	27.26	A^3/atom
raw formation energy	-1.018	eV per atom
symmetry	C2/m (12)

---

The following is a GGA-PBE calculation of La5As4N after structural relaxation, from Alexandria.

abc: 6.1643 7.3869 7.3869
angles: 79.97 65.34 65.34
Closest atoms and distances in Å follow each position.
Element x y z (fractional)
La  0.9051  0.3715  0.8138  1 N 2.82, 4 As 3.01-3.12
La  0.0904  0.6285  0.1862  1 N 2.82, 4 As 3.01-3.12
La  0.7189  0.1862  0.3715  1 N 2.82, 4 As 3.01-3.12
La  0.2766  0.8138  0.6285  1 N 2.82, 4 As 3.01-3.12
La  0.4416  0.0000  0.0000  1 N 2.32
As  0.8053  0.7923  0.6030  6 La 3.01-3.16
As  0.2006  0.2077  0.3970  6 La 3.01-3.16
As  0.5976  0.6030  0.2077  6 La 3.01-3.16
As  0.4083  0.3970  0.7923  6 La 3.01-3.16
N  0.0657  0.0000  0.0000  1 La 2.32

Values from the calculation:
calculated volume	27.78	A^3/atom
raw formation energy	-1.437	eV per atom
symmetry	I4 (79)

---

The following is a GGA-PBE calculation of La3AsN after structural relaxation, from Alexandria.

abc: 4.1074 8.4585 8.3679
angles: 83.73 90.00 104.05
Closest atoms and distances in Å follow each position.
Element x y z (fractional)
La  0.1597  0.3194  0.5313  3 As 3.10-3.22, 1 N 3.22
La  0.8403  0.6806  0.4687  3 As 3.10-3.22, 1 N 3.22
La  0.0421  0.0842  0.1838  2 N 2.34-2.36
La  0.6696  0.3392  0.8778  2 N 2.45
La  0.9579  0.9158  0.8162  2 N 2.34-2.36
La  0.3304  0.6608  0.1222  2 N 2.45
N  0.9121  0.8241  0.0943  4 La 2.34-2.45
N  0.0879  0.1759  0.9057  4 La 2.34-2.45
As  0.3103  0.6206  0.7461  8 La 3.10-3.28
As  0.6897  0.3794  0.2539  8 La 3.10-3.28

Values from the calculation:
calculated volume	28.02	A^3/atom
raw formation energy	-1.087	eV per atom
symmetry	C2/m (12)

---

The following is a GGA-PBE calculation of LaAsN3 after structural relaxation, from Alexandria.

abc: 3.8846 3.8846 3.8846
angles: 90.00 90.00 90.00
Closest atoms and distances in Å follow each position.
Element x y z (fractional)
N  0.0000  0.5000  0.0000  2 As 1.94
N  0.5000  0.0000  0.0000  2 As 1.94
N  0.0000  0.0000  0.5000  2 As 1.94
As  0.0000  0.0000  0.0000  6 N 1.94
La  0.5000  0.5000  0.5000  12 N 2.75

Values from the calculation:
calculated volume	11.72	A^3/atom
raw formation energy	0.022	eV per atom
symmetry	Pm-3m (221)

---

The following is a GGA-PBE calculation of La5As2N2 after structural relaxation, from Alexandria.

abc: 7.3417 6.6333 10.9314
angles: 107.66 109.62 90.00
Closest atoms and distances in Å follow each position.
Element x y z (fractional)
N  0.8462  0.8061  0.5000  4 La 2.36-2.50
N  0.0000  0.9782  0.0000  4 La 2.49-2.50
N  0.5000  0.4782  0.0000  4 La 2.49-2.50
N  0.1538  0.3061  0.5000  4 La 2.36-2.50
La  0.2132  0.1273  0.2972  1 N 2.36
La  0.8481  0.1824  0.5000  2 N 2.39-2.50
La  0.2336  0.2110  0.9672  2 N 2.49-2.50
La  0.2336  0.7110  0.9672  2 N 2.49-2.50
La  0.7868  0.8301  0.7028  1 N 2.36
La  0.7664  0.7438  0.0328  2 N 2.49-2.50
La  0.4160  0.3301  0.7028  1 N 2.36
La  0.7664  0.2438  0.0328  2 N 2.49-2.50
La  0.5840  0.6273  0.2972  1 N 2.36
La  0.1519  0.6824  0.5000  2 N 2.39-2.50
As  0.1396  0.5821  0.2071  6 La 3.04-3.27
As  0.8604  0.3751  0.7929  6 La 3.04-3.27
As  0.5675  0.0821  0.2071  6 La 3.04-3.27
As  0.4325  0.8751  0.7929  6 La 3.04-3.27

Values from the calculation:
calculated volume	26.37	A^3/atom
raw formation energy	-1.222	eV per atom
symmetry	Ima2 (46)

---

The following is a GGA-PBE calculation of La5As2N after structural relaxation, from Alexandria.

abc: 5.9288 7.0533 13.1724
angles: 90.00 90.00 114.85
Closest atoms and distances in Å follow each position.
Element x y z (fractional)
La  0.7135  0.4270  0.2500  2 As 2.94, 2 N 2.97
La  0.0581  0.1161  0.3636  1 N 2.60
La  0.9419  0.8839  0.6364  1 N 2.60
La  0.3411  0.6823  0.3986  1 N 2.47
La  0.6589  0.3177  0.8986  1 N 2.47
La  0.9419  0.8839  0.8636  1 N 2.60
La  0.0581  0.1161  0.1364  1 N 2.60
La  0.2865  0.5730  0.7500  2 As 2.94, 2 N 2.97
La  0.6589  0.3177  0.6014  1 N 2.47
La  0.3411  0.6823  0.1014  1 N 2.47
As  0.1674  0.3348  0.5587  6 La 2.93-3.06
As  0.1674  0.3348  0.9413  6 La 2.93-3.06
As  0.8326  0.6652  0.4413  6 La 2.93-3.06
As  0.8326  0.6652  0.0587  6 La 2.93-3.06
N  0.2237  0.4473  0.2500  4 La 2.47-2.60
N  0.7763  0.5527  0.7500  4 La 2.47-2.60

Values from the calculation:
calculated volume	31.24	A^3/atom
raw formation energy	-0.929	eV per atom
symmetry	Cmcm (63)

---

The following is a GGA-PBE calculation of LaAsN3 after structural relaxation, from Alexandria.

abc: 4.3422 4.3422 4.3422
angles: 90.00 90.00 90.00
Closest atoms and distances in Å follow each position.
Element x y z (fractional)
As  0.5000  0.5000  0.5000  12 N 3.07
N  0.5000  0.0000  0.0000  2 La 2.17
N  0.0000  0.0000  0.5000  2 La 2.17
N  0.0000  0.5000  0.0000  2 La 2.17
La  0.0000  0.0000  0.0000  6 N 2.17

Values from the calculation:
calculated volume	16.37	A^3/atom
raw formation energy	1.706	eV per atom
symmetry	Pm-3m (221)

---

The following is a GGA-PBE calculation of La6As2N after structural relaxation, from Alexandria.

abc: 6.6285 7.9136 9.8149
angles: 90.00 88.32 90.00
Closest atoms and distances in Å follow each position.
Element x y z (fractional)
La  0.3412  0.8270  0.5447  1 N 2.69
La  0.6351  0.2135  0.0540  1 N 2.50
La  0.1351  0.2865  0.5540  1 N 2.50
La  0.3660  0.5343  0.2439  1 N 2.54
La  0.8412  0.6730  0.0447  1 N 2.69
La  0.3649  0.7865  0.9460  1 N 2.50
La  0.6340  0.4657  0.7561  1 N 2.54
La  0.1340  0.0343  0.2561  1 N 2.54
La  0.6588  0.1730  0.4553  1 N 2.69
La  0.8649  0.7135  0.4460  1 N 2.50
La  0.1588  0.3270  0.9553  1 N 2.69
La  0.8660  0.9657  0.7439  1 N 2.54
As  0.0714  0.6130  0.7473  8 La 3.11-3.39
As  0.4286  0.1130  0.7527  8 La 3.11-3.39
As  0.5714  0.8870  0.2473  8 La 3.11-3.39
As  0.9286  0.3870  0.2527  8 La 3.11-3.39
N  0.0000  0.0000  0.5000  6 La 2.50-2.69
N  0.5000  0.5000  0.0000  6 La 2.50-2.69

Values from the calculation:
calculated volume	28.59	A^3/atom
raw formation energy	-0.964	eV per atom
symmetry	P2_1/c (14)

---

The following is a GGA-PBE calculation of La4As2N after structural relaxation, from Alexandria.

abc: 4.0536 7.1957 7.8596
angles: 116.79 104.94 90.00
Closest atoms and distances in Å follow each position.
Element x y z (fractional)
La  0.8870  0.1791  0.7740  1 N 2.58
La  0.1130  0.8209  0.2260  1 N 2.58
La  0.6147  0.2550  0.2293  2 N 2.74, 3 As 3.02-3.04
La  0.3853  0.7450  0.7707  2 N 2.74, 3 As 3.02-3.04
As  0.2677  0.2712  0.5354  6 La 2.99-3.04
As  0.7323  0.7288  0.4646  6 La 2.99-3.04
N  0.0000  0.0000  0.0000  6 La 2.58-2.74

Values from the calculation:
calculated volume	27.99	A^3/atom
raw formation energy	-1.117	eV per atom
distance to the lowest polymorph of the same formula	38.3	meV per atom
symmetry	C2/m (12)

---

The following is a GGA-PBE calculation of La4As2N after structural relaxation, from Alexandria.

abc: 4.7603 4.7603 9.1961
angles: 75.00 75.00 90.00
Closest atoms and distances in Å follow each position.
Element x y z (fractional)
La  0.0000  0.5000  0.0000  2 N 2.38
La  0.5000  0.0000  0.0000  2 N 2.38
La  0.6779  0.6779  0.6442  5 As 3.09-3.42
La  0.3221  0.3221  0.3558  5 As 3.09-3.42
As  0.1414  0.1414  0.7172  1 N 2.42
As  0.8586  0.8586  0.2828  1 N 2.42
N  0.0000  0.0000  0.0000  4 La 2.38, 2 As 2.42

Values from the calculation:
calculated volume	27.70	A^3/atom
raw formation energy	-0.741	eV per atom
distance to the lowest polymorph of the same formula	413.9	meV per atom
symmetry	I4/mmm (139)

---

The following is a GGA-PBE calculation of La3AsN5 after structural relaxation, from Alexandria.

abc: 6.8994 6.8994 7.5419
angles: 117.22 117.22 90.00
Closest atoms and distances in Å follow each position.
Element x y z (fractional)
N  0.7071  0.2071  0.7019  1 As 1.82
N  0.0052  0.5052  0.2981  1 As 1.82
N  0.5000  0.5000  0.0000  4 La 2.53
N  0.9948  0.4948  0.7019  1 As 1.82
N  0.7929  0.0052  0.2981  1 As 1.82
N  0.2071  0.9948  0.7019  1 As 1.82
N  0.2929  0.7929  0.2981  1 As 1.82
N  0.5052  0.2929  0.2981  1 As 1.82
N  0.4948  0.7071  0.7019  1 As 1.82
N  0.0000  0.0000  0.0000  4 La 2.53
As  0.7500  0.2500  0.5000  4 N 1.82
As  0.2500  0.7500  0.5000  4 N 1.82
La  0.8201  0.6799  0.0000  4 N 2.43-2.53
La  0.2500  0.2500  0.5000  10 N 2.88-2.89
La  0.6799  0.1799  0.0000  4 N 2.43-2.53
La  0.3201  0.8201  0.0000  4 N 2.43-2.53
La  0.1799  0.3201  0.0000  4 N 2.43-2.53
La  0.7500  0.7500  0.5000  10 N 2.88-2.89

Values from the calculation:
calculated volume	15.21	A^3/atom
raw formation energy	-0.833	eV per atom
symmetry	I4/mcm (140)